No. 1
SrIn2Rh | PBE | relaxed

The structure in extended XYZ format:
```
4
Lattice="3.588 0.010 0.000 -0.010 3.588 0.000 0.000 0.000 7.692" Properties=species:S:1:pos:R:3 pbc="T T T"
In 0.000 0.000 0.364
In 1.789 1.799 2.276
Rh 0.000 0.000 3.366
Sr 1.789 1.799 5.532
```

Results
Calculated formation energy (eV per formula unit): -1.04
Total energy (eV/cell): -15.55
D(E_F) (states/eV per atom): 0.5577
Magnetization (μB/f.u.): 0.00

No. 2
Ba2CrN2 | PBE | relaxed

The structure in extended XYZ format:
```
5
Lattice="4.950 0.000 0.000 0.000 4.950 0.000 2.475 2.475 5.372" Properties=species:S:1:pos:R:3 pbc="T T T"
Cr 0.000 0.000 0.000
Ba 2.475 2.475 1.735
Ba 4.950 4.950 3.637
N 4.950 2.475 2.686
N 2.475 4.950 2.686
```

Results
Total energy (eV/cell): -26.03
D(E_F) (states/eV per atom): 0.3756
Magnetization (μB/f.u.): 3.98
Uncorrected formation energy (eV/atom): 0.8177

No. 3
KSb3Se | PBE | relaxed

The structure in extended XYZ format:
```
5
Lattice="5.895 0.000 0.000 0.000 5.895 0.000 0.000 0.000 5.895" Properties=species:S:1:pos:R:3 pbc="T T T"
Sb 0.000 2.948 0.000
Sb 0.000 0.000 2.948
Sb 2.948 0.000 0.000
K 0.000 0.000 0.000
Se 2.948 2.948 2.948
```

Results
Excess energy over the best structure of this formula in the dataset (meV per atom): 1214
Total energy (eV/cell): -9.58
D(E_F) (states/eV per atom): 1.5499
Magnetization (μB/f.u.): 2.77
Uncorrected formation energy (eV/atom): 1.4740

No. 4
HRuPt2Se | PBE | relaxed

The structure in extended XYZ format:
```
5
Lattice="-0.160 2.967 -2.447 -4.160 1.047 1.542 1.565 2.287 2.670" Properties=species:S:1:pos:R:3 pbc="T T T"
Ru -1.378 3.150 0.883
Se -2.080 0.524 0.771
Pt 0.783 1.143 1.335
Pt -0.080 1.483 -1.223
H 0.000 0.000 0.000
```

Results
Total energy (eV/cell): -25.75
D(E_F) (states/eV per atom): 1.2687
Magnetization (μB/f.u.): 0.00

No. 5
HoH3Pd6 | PBE | relaxed

The structure in extended XYZ format:
```
10
Lattice="4.734 1.156 -1.631 -2.124 4.700 -0.353 0.597 -0.114 4.937" Properties=species:S:1:pos:R:3 pbc="T T T"
Ho 1.750 4.716 1.055
H 2.772 2.727 -0.024
H 0.290 3.333 3.691
H 0.840 0.224 1.795
Pd 2.041 3.057 3.418
Pd -0.817 3.388 0.555
Pd 3.801 1.606 -1.096
Pd -0.361 4.926 3.085
Pd 4.136 3.028 1.353
Pd 1.585 1.702 0.931
```

Results
Total energy (eV/cell): -49.76
D(E_F) (states/eV per atom): 0.2743
Magnetization (μB/f.u.): 0.00

No. 6
Na3Nd2BiS6 | PBE | relaxed

The structure in extended XYZ format:
```
12
Lattice="-3.726 6.070 0.267 -2.851 -6.044 2.477 4.734 1.286 5.172" Properties=species:S:1:pos:R:3 pbc="T T T"
Na -0.627 -3.423 4.702
Na -1.216 4.734 3.214
Na -0.922 0.656 3.958
Nd -3.142 -2.010 1.741
Nd -3.434 2.036 1.003
Bi 0.000 0.000 0.000
S -1.491 3.019 5.662
S -3.793 0.320 3.253
S -0.352 -1.707 2.254
S -1.200 -1.012 6.398
S 1.950 0.992 4.663
S -0.643 2.324 1.518
```

Results
Total energy (eV/cell): -59.51
D(E_F) (states/eV per atom): 0.0000
Magnetization (μB/f.u.): 0.00
Uncorrected formation energy (eV/atom): -1.4478

No. 7
SrZr2In | PBE | relaxed

The structure in extended XYZ format:
```
8
Lattice="8.659 0.000 0.000 0.000 8.659 0.000 4.330 4.330 3.091" Properties=species:S:1:pos:R:3 pbc="T T T"
Sr 4.330 4.330 0.000
Sr 4.330 8.659 1.546
Zr 6.820 2.165 0.773
Zr 1.840 6.495 0.773
Zr 6.495 6.169 2.319
Zr 10.824 11.149 2.319
In 0.000 0.000 0.000
In 8.659 4.330 1.546
```

Results
Calculated formation energy (eV per formula unit): 2.13
Total energy (eV/cell): -38.76
D(E_F) (states/eV per atom): 1.3964
Magnetization (μB/f.u.): 0.00

No. 8
Tm2PdPt4 | PBE | relaxed

The structure in extended XYZ format:
```
14
Lattice="8.954 0.000 0.000 0.000 4.975 -2.302 0.000 -0.164 6.172" Properties=species:S:1:pos:R:3 pbc="T T T"
Tm 0.000 3.160 0.302
Tm 0.000 1.651 3.568
Tm 4.477 4.139 2.417
Tm 4.477 0.672 1.453
Pd 0.000 0.000 0.000
Pd 4.477 2.488 -1.151
Pt 6.726 3.712 -1.718
Pt 6.715 2.407 1.934
Pt 6.715 -0.081 3.086
Pt 6.704 1.224 -0.566
Pt 2.250 3.751 -1.736
Pt 2.238 4.892 0.785
Pt 2.238 2.404 1.936
Pt 2.227 1.263 -0.585
```

Results
Calculated formation energy (eV per formula unit): -5.39
Excess energy over the best structure of this formula in the dataset (meV per atom): 54
Total energy (eV/cell): -87.37
D(E_F) (states/eV per atom): 0.7102
Magnetization (μB/f.u.): 0.00